# 1
Entry from the Alexandria database: an optimized crystal structure of TbTm2Ag2 (PBE-GGA).

Computed properties:
- E (eV per atom) = -4.102
- SG = P2_1/m, No. 11
- formation energy (eV per atom) = -0.2471

Cell lengths 3.5951, 5.2257, 13.4242 Å; angles 90.00, 97.68, 90.00 degrees
Last column: nearest neighbours and their distance in Å.
Element x y z (fractional)
Tb1 0.1461 0.2500 0.2912  6 Ag 3.17-3.21, 2 Tm 3.52
Tb2 0.8539 0.7500 0.7088  6 Ag 3.17-3.21, 2 Tm 3.52
Tm1 0.0474 0.7500 0.0950  8 Ag 3.07-3.17
Tm2 0.2348 0.7500 0.4689  2 Ag 3.04, 4 Tm 3.28
Tm3 0.7652 0.2500 0.5311  2 Ag 3.04, 4 Tm 3.28
Tm4 0.9526 0.2500 0.9050  8 Ag 3.07-3.17
Ag1 0.3575 0.2500 0.7157  4 Tm 3.04-3.09, 4 Tb 3.17
Ag2 0.4541 0.7500 0.9083  6 Tm 3.07-3.17, 2 Tb 3.20-3.21
Ag3 0.5459 0.2500 0.0917  6 Tm 3.07-3.17, 2 Tb 3.20-3.21
Ag4 0.6425 0.7500 0.2843  4 Tm 3.04-3.09, 4 Tb 3.17

# 2
Entry from the Alexandria database: an optimized crystal structure of TbTm2Ag (PBE-GGA).

Computed properties:
- E (eV per atom) = -4.127
- SG = R-3m, No. 166
- formation energy (eV per atom) = -0.0206

Cell lengths 10.5710, 10.5710, 10.5710 Å; angles 19.16, 19.16, 19.16 degrees
Last column: nearest neighbours and their distance in Å.
Element x y z (fractional)
Tb1 0.0000 0.0000 0.0000  6 Tm 3.51, 6 Tb 3.52
Tm1 0.2412 0.2412 0.2412  3 Ag 3.08
Tm2 0.7588 0.7588 0.7588  3 Ag 3.08
Ag1 0.5000 0.5000 0.5000  6 Tm 3.08

# 3
Entry from the Alexandria database: an optimized crystal structure of TbTm2Ag (PBE-GGA).

Computed properties:
- E (eV per atom) = -4.118
- SG = R3m, No. 160
- formation energy (eV per atom) = -0.0120

Cell lengths 10.4219, 10.4219, 10.4219 Å; angles 19.70, 19.70, 19.70 degrees
Last column: nearest neighbours and their distance in Å.
Element x y z (fractional)
Tb1 0.0000 0.0000 0.0000  6 Tm 3.50-3.51, 6 Tb 3.57
Tm1 0.5737 0.5737 0.5737  3 Ag 3.07
Tm2 0.7591 0.7591 0.7591  3 Ag 3.06
Ag1 0.1662 0.1662 0.1662  6 Tm 3.06-3.07

# 4
Entry from the Alexandria database: an optimized crystal structure of TbTmAg5 (PBE-GGA).

Computed properties:
- E (eV per atom) = -3.403
- SG = P4/mmm, No. 123
- formation energy (eV per atom) = -0.0660

Cell lengths 4.9427, 4.9427, 6.5969 Å; angles 90.00, 90.00, 90.00 degrees
Last column: nearest neighbours and their distance in Å.
Element x y z (fractional)
Tb1 0.0000 0.0000 0.0000  8 Ag 3.03
Tm1 0.5000 0.5000 0.5000  8 Ag 2.91
Ag1 0.0000 0.5000 0.2659  2 Tm 2.91, 2 Tb 3.03, 3 Ag 3.03-3.09
Ag2 0.0000 0.5000 0.7341  2 Tm 2.91, 2 Tb 3.03, 3 Ag 3.03-3.09
Ag3 0.5000 0.0000 0.2659  2 Tm 2.91, 2 Tb 3.03, 3 Ag 3.03-3.09
Ag4 0.5000 0.0000 0.7341  2 Tm 2.91, 2 Tb 3.03, 3 Ag 3.03-3.09
Ag5 0.5000 0.5000 0.0000  8 Ag 3.03, 2 Tm 3.30

# 5
Entry from the Alexandria database: an optimized crystal structure of TbTm2Ag (PBE-GGA).

Computed properties:
- E (eV per atom) = -4.093
- SG = P4/mmm, No. 123
- formation energy (eV per atom) = 0.0131

Cell lengths 4.7305, 4.7305, 4.7677 Å; angles 90.00, 90.00, 90.00 degrees
Last column: nearest neighbours and their distance in Å.
Element x y z (fractional)
Tb1 0.0000 0.0000 0.0000  4 Ag 3.35, 8 Tm 3.36
Tm1 0.0000 0.5000 0.5000  4 Tm 3.35, 4 Tb 3.36, 4 Ag 3.36
Tm2 0.5000 0.0000 0.5000  4 Tm 3.35, 4 Tb 3.36, 4 Ag 3.36
Ag1 0.5000 0.5000 0.0000  4 Tb 3.35, 8 Tm 3.36

# 6
Entry from the Alexandria database: an optimized crystal structure of TbTmAg (PBE-GGA).

Computed properties:
- E (eV per atom) = -3.947
- SG = R-3m, No. 166
- formation energy (eV per atom) = 0.0378

Cell lengths 8.6466, 8.6466, 8.6466 Å; angles 33.63, 33.63, 33.63 degrees
Last column: nearest neighbours and their distance in Å.
Element x y z (fractional)
Tb1 0.1241 0.1241 0.1241  4 Ag 3.07-3.11
Tb2 0.8759 0.8759 0.8759  4 Ag 3.07-3.11
Tm1 0.3743 0.3743 0.3743  4 Ag 3.00-3.06
Tm2 0.6257 0.6257 0.6257  4 Ag 3.00-3.06
Ag1 0.2515 0.2515 0.2515  4 Tm 3.00-3.06, 4 Tb 3.07-3.11
Ag2 0.7485 0.7485 0.7485  4 Tm 3.00-3.06, 4 Tb 3.07-3.11